w:
This record from Alexandria via LeMat-Bulk describes an optimized crystal structure of MoAsPSe2. The functional is PBE-GGA.

It has space group P4/mmm (No. 123), with a = 4.8127 Å, b = 4.8127 Å, c = 5.0744 Å, α = 90.00°, β = 90.00° and γ = 90.00°. The asymmetric unit holds Mo at (0.0000, 0.0000, 0.0000), As at (0.0000, 0.0000, 0.5000), P at (0.5000, 0.5000, 0.5000) and Se at (0.0000, 0.5000, 0.0000).

The value obtained for the calculated density is 5083 kg/m3. Its calculated volume is 117.5 Å³ per cell. For the total moment, the calculation gives 1.0 μB per formula unit.


x:
This record from Alexandria via LeMat-Bulk describes an optimized crystal structure of MoAsPSe2. The functional is PBE-GGA.

It has space group P4/mmm (No. 123), with a = 4.8058 Å, b = 4.8058 Å, c = 4.6383 Å, α = 90.00°, β = 90.00° and γ = 90.00°. The asymmetric unit holds Mo at (0.0000, 0.0000, 0.0000), As at (0.5000, 0.5000, 0.0000), P at (0.5000, 0.5000, 0.5000) and Se at (0.0000, 0.5000, 0.5000).

The value obtained for the calculated density is 5577 kg/m3. Its calculated volume is 107.1 Å³ per cell. For the total moment, the calculation gives 2.7 μB per formula unit.


Ranked by calculated energy, most stable first: w, x.


w:
This record from Alexandria via LeMat-Bulk describes an optimized crystal structure of SrMoAsP2. The functional is PBE-GGA.

It has space group P4/mmm (No. 123), with a = 4.6234 Å, b = 4.6234 Å, c = 6.1977 Å, α = 90.00°, β = 90.00° and γ = 90.00°. The asymmetric unit holds Sr at (0.0000, 0.0000, 0.0000), Mo at (0.0000, 0.0000, 0.5000), As at (0.5000, 0.5000, 0.0000) and P at (0.0000, 0.5000, 0.5000).

The value obtained for the calculated density is 4016 kg/m3. Its calculated volume is 132.5 Å³ per cell. For the total moment, the calculation gives 1.3 μB per formula unit.


x:
This record from Alexandria via LeMat-Bulk describes an optimized crystal structure of SrMoAsP2. The functional is PBE-GGA.

It has space group P4/mmm (No. 123), with a = 4.9191 Å, b = 4.9191 Å, c = 5.4475 Å, α = 90.00°, β = 90.00° and γ = 90.00°. The asymmetric unit holds Sr at (0.0000, 0.0000, 0.0000), Mo at (0.5000, 0.5000, 0.0000), As at (0.0000, 0.0000, 0.5000) and P at (0.0000, 0.5000, 0.5000).

The value obtained for the calculated density is 4036 kg/m3. Its calculated volume is 131.8 Å³ per cell. For the total moment, the calculation gives 4.3 μB per formula unit.


Ranked by calculated energy, most stable first: w, x.


w:
This record from Alexandria via LeMat-Bulk describes an optimized crystal structure of PaMoAs2. The functional is PBE-GGA.

It has space group P4/mmm (No. 123), with a = 3.2935 Å, b = 3.2935 Å, c = 6.8008 Å, α = 90.00°, β = 90.00° and γ = 90.00°. The asymmetric unit holds Pa at (0.0000, 0.0000, 0.0000), Mo at (0.0000, 0.0000, 0.5000) and As at (0.5000, 0.5000, 0.2840).

The value obtained for the calculated density is 10733 kg/m3. Its calculated volume is 73.8 Å³ per cell. For the total moment, the calculation gives 0.5 μB per formula unit.


x:
This record from Alexandria via LeMat-Bulk describes an optimized crystal structure of PaMoAs2. The functional is PBE-GGA.

It has space group P1 (No. 1), with a = 3.3765 Å, b = 3.4286 Å, c = 6.9126 Å, α = 75.70°, β = 89.91° and γ = 90.00°. The asymmetric unit holds Pa at (0.0000, 0.0000, 0.0000), Mo at (0.9984, 0.2406, 0.5225), As at (0.4982, 0.6552, 0.6932) and As at (0.4993, 0.3808, 0.2392).

The value obtained for the calculated density is 10211 kg/m3. Its calculated volume is 77.5 Å³ per cell. For the total moment, the calculation gives 0.0 μB per formula unit.


Ranked by calculated energy, most stable first: x, w.